DFT (PBE) results for a relaxed structure of PmTmPb6.

Cell lengths 4.890, 4.890, 9.785 Å; angles 90.00, 90.00, 90.00 degrees
Fractional coordinates of all 8 atoms:
1 Pm 0.000 0.000 0.500
2 Tm 0.000 0.000 0.000
3 Pb 0.500 0.500 0.000
4 Pb 0.500 0.500 0.500
5 Pb 0.500 0.000 0.245
6 Pb 0.500 0.000 0.755
7 Pb 0.000 0.500 0.245
8 Pb 0.000 0.500 0.755

- Energy relative to the elements: -0.290 eV/atom
- Density of states at the Fermi level: 0.528 states/eV/atom



DFT (PBE) results for a relaxed structure of SbW2Br.

Cell lengths 3.057, 3.057, 10.208 Å; angles 90.00, 90.00, 113.78 degrees
Fractional coordinates of all 4 atoms:
1 Sb 0.500 0.500 0.800
2 Br 0.000 0.000 0.441
3 W 0.000 0.000 0.034
4 W 0.500 0.500 0.225

- Relative energy among the computed polymorphs: 0.3525 eV per atom
- Density of states at the Fermi level: 0.877 states/eV/atom
- Energy relative to the elements, uncorrected: 0.55 eV per atom